Material: TlCoCuH6
Method: DFT, PBE-GGA
State: optimized geometry

Calculated values
Raw total energy (eV per atom): -3.589

Lattice parameters (Å, degrees): 4.2975 4.3967 5.4718 89.88 88.67 65.85
With the nearest neighbours (Å) after each atom.
Space group P1 (No. 1)
Inequivalent atoms, fractional coordinates:
Tl: 0.0000 0.0000 0.0000 [1 per cell]  8 H 2.59-2.89
Co: 0.7039 0.7149 0.4946 [1 per cell]  6 H 1.54-1.58
Cu: 0.3363 0.3370 0.4976 [1 per cell]  6 H 1.73-1.76
H: 0.0001 0.5373 0.3033 [1 per cell]  1 Co 1.57, 1 Cu 1.74
H: 0.4404 0.6307 0.6431 [1 per cell]  1 Co 1.54
H: 0.4657 0.9819 0.3109 [1 per cell]  1 Co 1.58, 1 Cu 1.75
H: 0.5541 0.0077 0.6882 [1 per cell]  1 Co 1.58, 1 Cu 1.73
H: 0.6133 0.4726 0.3392 [1 per cell]  1 Co 1.54
H: 0.9608 0.4721 0.6812 [1 per cell]  1 Co 1.58, 1 Cu 1.76